A relaxed Sr2NiO3F crystal. Source: the Alexandria database, functional PBE with a Hubbard U.

abc: 7.112 7.112 7.112
angles: 148.77 148.77 44.76
Site moments in Bohr magnetons follow the coordinates.
Positions (direct):
Sr  0.636  0.636  0.000  0.01
Sr  0.361  0.361  0.000  0.00
Ni  0.981  0.981  0.000  1.41
O  0.502  0.002  0.500  -0.17
O  0.002  0.502  0.500  -0.17
O  0.828  0.828  0.000  -0.05
F  0.173  0.173  0.000  0.01

Computed properties:
uncorrected energy: -5.546 eV per atom
calculated volume: 96.4 Å³/f.u.
SG: I4mm (107)
M_tot: 0.14 μB/atom